[1]
A plane-wave DFT calculation with GGA-PBEsol was carried out for La2HfCu after structural relaxation.

Results
SG ... No. 225
Formation enthalpy at 0 K ... 0.311 eV per atom
Raw total energy ... -24.3 eV/cell

a b c (Å): 5.186 5.186 5.186
angles (deg): 60.00 60.00 60.00
Positions (direct):
La 0.250 0.250 0.250
La 0.750 0.750 0.750
Hf 0.000 0.000 0.000
Cu 0.500 0.500 0.500


[2]
A plane-wave DFT calculation with GGA-PBEsol was carried out for Na2LaHfCu after structural relaxation.

Results
SG ... No. 123
Formation enthalpy at 0 K ... 1.447 eV per atom
Raw total energy ... -15.7 eV/cell

a b c (Å): 5.802 5.802 5.426
angles (deg): 90.00 90.00 90.00
Positions (direct):
Na 0.000 0.500 0.000
Na 0.500 0.000 0.000
La 0.000 0.000 0.500
Hf 0.000 0.000 0.000
Cu 0.500 0.500 0.500